Below is a geometry-optimized BaBeFeAs2 structure, with properties calculated at the PBE level.

- Symmetry: I-4m2 (119)
- Total magnetic moment: 1.63 Bohr magnetons per cell
- E_tot: -5.120 eV/atom

Cell: 6.8827 6.8827 6.8827 Å, 146.33 146.33 48.35°
Site moments in Bohr magnetons follow the coordinates.
Sites, in units of the cell vectors:
Be (0.2500, 0.7500, 0.5000)  0.00
As (0.3500, 0.3500, 0.0000)  -0.01
Ba (0.0000, 0.0000, 0.0000)  0.02
As (0.6500, 0.6500, 0.0000)  0.00
Fe (0.7500, 0.2500, 0.5000)  1.48